Compound: YTmNi4
Source: OQMD
Functional: PBE
Structure: relaxed

- Calculated formation energy: -0.455 eV/atom
- M_tot: 0.00 μB per formula unit
- Space group: F-43m

Lattice parameters (Å, degrees): 5.0067 5.0067 5.0067 60.00 60.00 60.00
Closest atoms and distances in Å follow each position.
Fractional positions:
Y 0.0000 0.0000 0.0000  12 Ni 2.94, 4 Tm 3.07
Tm 0.2500 0.2500 0.2500  12 Ni 2.93, 4 Y 3.07
Ni 0.1268 0.6244 0.6244  6 Ni 2.49-2.52
Ni 0.6244 0.1268 0.6244  6 Ni 2.49-2.52
Ni 0.6244 0.6244 0.1268  6 Ni 2.49-2.52
Ni 0.6244 0.6244 0.6244  6 Ni 2.49-2.52